(1)
First-principles (PBE) data for crystalline YCoBiPd at its relaxed geometry, as listed in OQMD via LeMat-Bulk.

Results
E above lowest polymorph   0.77 eV/f.u.

Cell lengths 4.8367, 4.8367, 4.8367 Å; angles 60.00, 60.00, 60.00 degrees
Element x y z (fractional)
Y: 0.0000 0.0000 0.0000
Co: 0.5000 0.5000 0.5000
Bi: 0.2500 0.2500 0.2500
Pd: 0.7500 0.7500 0.7500


(2)
First-principles (PBE) data for crystalline YCoBiPd at its relaxed geometry, as listed in OQMD via LeMat-Bulk.

Results
E above lowest polymorph   0.00 eV/f.u.

Cell lengths 4.7940, 4.7940, 4.7940 Å; angles 60.00, 60.00, 60.00 degrees
Element x y z (fractional)
Y: 0.0000 0.0000 0.0000
Co: 0.7500 0.7500 0.7500
Bi: 0.5000 0.5000 0.5000
Pd: 0.2500 0.2500 0.2500